<i>
Entry from Alexandria via LeMat-Bulk: a relaxed Ge2PbBr crystal (GGA-PBE).

The value obtained for the density of states at the Fermi level is 0.31 states/eV per atom. Its calculated density is 5.2 g cm⁻³.

The space group is I-42d (No. 122) and the conventional cell measures 6.018, 6.018 and 15.194 Å, with angles of 90.00, 90.00 and 90.00 degrees. The inequivalent atoms are Ge at (0.244, 0.250, 0.125), Pb at (0.000, 0.000, 0.500) and Br at (0.000, 0.000, 0.000).

---

<ii>
Entry from Alexandria via LeMat-Bulk: a relaxed Ge2PbBr crystal (GGA-PBE).

The value obtained for the density of states at the Fermi level is 0.65 states/eV per atom. Its calculated density is 7.3 g cm⁻³.

The space group is Fm-3m (No. 225) and the conventional cell measures 7.318, 7.318 and 7.318 Å, with angles of 90.00, 90.00 and 90.00 degrees. The inequivalent atoms are Ge at (0.250, 0.250, 0.250), Pb at (0.000, 0.000, 0.000) and Br at (0.000, 0.000, 0.500).

---

Out of the structures above, which one is the least stable? Solution: <i>.